{"formula": "LuPaReTc", "functional": "PBE", "state": "relaxed", "lattice_angstrom": [[0.0000, 3.4020, 3.4020], [3.4020, 0.0000, 3.4020], [3.4020, 3.4020, 0.0000]], "species": ["Lu", "Pa", "Re", "Tc"], "frac_coords": [[0.0000, 0.0000, 0.0000], [0.5000, 0.5000, 0.5000], [0.2500, 0.2500, 0.2500], [0.7500, 0.7500, 0.7500]], "space_group": "No. 216", "dft_energy_ev_per_atom": -9.341, "formation_energy_ev_per_fu": -0.53}